Zr2BeCl: optimized geometry, PBE.

- Distance to the lowest polymorph of the same formula: 560 meV/atom
- Size of the total moment: 0.0 μB per formula unit
- Formation energy (no corrections): 14.4 kJ/mol of atoms

Structure (POSCAR):
```
Zr2BeCl
1.0
5.676 0.004 0.000
3.102 4.753 0.000
-4.389 -2.378 2.701
Cl Zr Be
1 2 1
Direct
0.750 0.250 0.500
0.000 0.000 0.000
0.250 0.750 0.500
0.500 0.500 0.000
```